1.
# Li2RhF5

Crystalline Li2RhF5 at its relaxed geometry (GGA-PBE, Alexandria via LeMat-Bulk).

Cell: 3.936 10.248 10.258 Å, 90.00 90.00 90.00°
Space group Cmcm (No. 63)
One atom of each set of equivalent atoms:
1 Li 0.000 0.123 0.069 [8 per cell]
2 Rh 0.000 0.195 0.750 [4 per cell]
3 F 0.000 0.061 0.610 [8 per cell]
4 F 0.000 0.268 0.250 [4 per cell]
5 F 0.000 0.326 0.602 [8 per cell]

Results
- formation energy (no corrections) (kJ/mol of atoms) = -214.0
- spin magnetization (Bohr magnetons per cell) = 0.01
- DFT total energy (eV per atom) = -4.784

---

2.
# MgZr2SbH

Crystalline MgZr2SbH at its relaxed geometry (GGA-PBE, Alexandria via LeMat-Bulk).

Cell: 4.390 4.390 4.560 Å, 90.00 90.00 90.00°
Space group P4/mmm (No. 123)
One atom of each set of equivalent atoms:
1 Mg 0.000 0.000 0.000 [1 per cell]
2 Zr 0.000 0.500 0.500 [2 per cell]
3 Sb 0.500 0.500 0.000 [1 per cell]
4 H 0.000 0.000 0.500 [1 per cell]

Results
- spin magnetization (Bohr magnetons per cell) = 0.00
- DFT total energy (eV per atom) = -5.565